No. 1
Material: La2MnZn
Method: DFT, GGA-PBE
State: relaxed

Summary:
spin magnetization = 6.48 μB/cell
formation enthalpy at 0 K = 0.02 eV/atom
space group = Imm2, No. 44
VASP energy = -5.058 eV per atom

abc: 3.6711 5.1063 10.8111
angles: 90.00 90.00 90.00
Last column: nearest neighbours and their distance in Å.
Fractional coordinates of all 8 atoms:
1 La 0.0000 0.0000 0.0000  4 Zn 3.22, 2 La 3.35, 4 Mn 3.41-3.60
2 La 0.0000 0.5000 0.2011  4 Mn 3.22, 2 La 3.35, 4 Zn 3.41-3.60
3 La 0.5000 0.0000 0.7011  4 Mn 3.22, 2 La 3.35, 4 Zn 3.41-3.60
4 La 0.5000 0.5000 0.5000  4 Zn 3.22, 2 La 3.35, 4 Mn 3.41-3.60
5 Mn 0.0000 0.5000 0.7659  2 Zn 2.60
6 Mn 0.5000 0.0000 0.2659  2 Zn 2.60
7 Zn 0.0000 0.0000 0.4357  2 Mn 2.60
8 Zn 0.5000 0.5000 0.9357  2 Mn 2.60

No. 2
Material: TlFeBr2
Method: DFT, GGA-PBE
State: relaxed

Summary:
spin magnetization = 6.98 μB/cell
space group = Imm2, No. 44
energy above the lowest structure with this stoichiometry = 118.6 meV per atom
formation energy without anion corrections = -0.146 eV per atom
VASP energy = -3.690 eV per atom

abc: 3.4465 3.5131 18.0865
angles: 90.00 90.00 90.00
Last column: nearest neighbours and their distance in Å.
Fractional coordinates of all 8 atoms:
1 Tl 0.0000 0.0000 0.0000  4 Tl 3.45-3.51, 6 Br 3.54-3.72
2 Tl 0.5000 0.5000 0.5000  4 Tl 3.45-3.51, 6 Br 3.54-3.72
3 Fe 0.0000 0.5000 0.7447  6 Br 2.51-2.81
4 Fe 0.5000 0.0000 0.2447  6 Br 2.51-2.81
5 Br 0.0000 0.0000 0.3454  2 Fe 2.51
6 Br 0.0000 0.5000 0.1700  4 Fe 2.81
7 Br 0.5000 0.0000 0.6700  4 Fe 2.81
8 Br 0.5000 0.5000 0.8454  2 Fe 2.51